Entry 1:
## Hf2Zr3In3 (GGA-PBE)

Data for a geometry-optimized Hf2Zr3In3 structure.

Geometry as POSCAR:
```
Hf2Zr3In3
1.0
5.2140 0.0000 0.0000
0.0000 5.2755 0.0000
0.0000 0.0000 6.5986
Hf Zr In
2 3 3
Direct
0.0000 0.0000 0.2414 Hf
0.0000 0.0000 0.7586 Hf
0.0000 0.5000 0.0000 Zr
0.0000 0.5000 0.5000 Zr
0.5000 0.0000 0.0000 Zr
0.5000 0.0000 0.5000 In
0.5000 0.5000 0.2489 In
0.5000 0.5000 0.7511 In
```

DFT formation energy in eV per atom: -0.069
Electronic total energy in eV per atom: -6.790
Mass density in g/cm³: 8.9


Entry 2:
## HfZr5In4 (GGA-PBE)

Data for a geometry-optimized HfZr5In4 structure.

Geometry as POSCAR:
```
HfZr5In4
1.0
3.1568 0.0000 0.0000
0.0000 3.1568 0.0000
0.0000 0.0000 22.4842
Hf Zr In
1 5 4
Direct
0.0000 0.0000 0.0000 Hf
0.5000 0.5000 0.1004 Zr
0.5000 0.5000 0.3023 Zr
0.5000 0.5000 0.5000 Zr
0.5000 0.5000 0.6977 Zr
0.5000 0.5000 0.8996 Zr
0.0000 0.0000 0.2032 In
0.0000 0.0000 0.4011 In
0.0000 0.0000 0.5989 In
0.0000 0.0000 0.7968 In
```

DFT formation energy in eV per atom: -0.258
Electronic total energy in eV per atom: -6.623
Mass density in g/cm³: 8.1


Entry 3:
## Hf5Zr2In (GGA-PBE)

Data for a geometry-optimized Hf5Zr2In structure.

Geometry as POSCAR:
```
Hf5Zr2In
1.0
6.4737 0.0000 0.0000
0.0000 12.8012 0.0000
0.0000 0.0000 4.3305
Hf Zr In
10 4 2
Direct
0.0000 0.0000 0.0000 Hf
0.0076 0.2505 0.0000 Hf
0.2469 0.6247 0.5000 Hf
0.2531 0.1247 0.5000 Hf
0.4924 0.7505 0.0000 Hf
0.5000 0.5000 0.0000 Hf
0.5076 0.2495 0.0000 Hf
0.7469 0.8753 0.5000 Hf
0.7531 0.3753 0.5000 Hf
0.9924 0.7495 0.0000 Hf
0.2399 0.8726 0.5000 Zr
0.2601 0.3726 0.5000 Zr
0.7399 0.6274 0.5000 Zr
0.7601 0.1274 0.5000 Zr
0.0000 0.5000 0.0000 In
0.5000 0.0000 0.0000 In
```

DFT formation energy in eV per atom: -0.058
Electronic total energy in eV per atom: -8.758
Mass density in g/cm³: 11.0